# Er3HgN

A geometry-optimized Er3HgN structure (PBE, the Alexandria database).

abc: 4.7454 4.7454 4.7454
angles: 90.00 90.00 90.00
Last column: nearest neighbours and their distance in Å.
Space group Pm-3m (No. 221)
Inequivalent atoms, fractional coordinates:
Er 0.0000 0.0000 0.5000 (multiplicity 3)  2 N 2.37
Hg 0.5000 0.5000 0.5000 (multiplicity 1)  12 Er 3.36
N 0.0000 0.0000 0.0000 (multiplicity 1)  6 Er 2.37

Computed properties:
As for the formation energy from raw total energies: -956 meV/atom. As for the theoretical density: 11.132 g/cm³.